VASP calculation (PBE) on a geometry-optimized LiNdAs2Pt5 structure.

Results
magnetization = 0.0 μB per formula unit
calculated formation energy = -646 meV/atom
N(E_F) = 3.8 states/eV/f.u.

Unit cell a=4.202 b=4.202 c=9.492 alpha=90.00 beta=90.00 gamma=90.00
Space group P4/mmm (No. 123)
Symmetry-distinct sites (fractional):
Li (0.000, 0.000, 0.000) x1
Nd (0.000, 0.000, 0.500) x1
As (0.500, 0.500, 0.133) x2
Pt (0.000, 0.500, 0.273) x4
Pt (0.500, 0.500, 0.500) x1